A geometry-optimized SnMo4O6 structure. Source: Alexandria, functional GGA+U.

Unit cell a=9.7814 b=9.7814 c=3.2227 alpha=90.00 beta=90.00 gamma=90.00
With the nearest neighbours (Å) after each atom.
Space group P4/mbm (No. 127)
Symmetry-distinct sites (fractional):
Sn  0.0000  0.0000  0.0000 [2 per cell]  4 O 2.40
Mo  0.1116  0.3884  0.0000 [4 per cell]  4 O 2.06-2.14
Mo  0.1496  0.6496  0.5000 [4 per cell]  5 O 2.03-2.17
O  0.0494  0.7601  0.0000 [8 per cell]  3 Mo 2.14-2.17, 1 Sn 2.40
O  0.2038  0.2962  0.5000 [4 per cell]  3 Mo 2.03-2.06

Properties
raw total energy	-6.87	eV per atom
N(E_F)	0.063	states/eV per atom